Entry 1:
Below is an optimized crystal structure of K8I4Br3Cl, with properties calculated at the PBE level.

POSCAR file:
```
K8I4Br3Cl
1.0
4.864 2.808 8.013
-4.864 2.808 8.013
0.000 -5.617 8.013
K I Br Cl
8 4 3 1
Cartesian
0.000 0.000 5.876
-2.392 -1.381 13.858
0.000 -2.762 10.183
-2.392 1.381 10.183
2.392 -1.381 13.858
0.000 2.762 13.858
2.392 1.381 10.183
0.000 0.000 18.165
0.000 0.000 0.000
-2.432 -1.404 8.013
-2.432 1.404 16.027
0.000 2.808 8.013
-4.864 0.000 12.020
-2.432 1.404 4.007
2.432 1.404 4.007
0.000 0.000 12.020
```

Output
Its symmetry is R-3m. The value obtained for the density of states at the Fermi level is 0.000 states/eV/cell. Its uncorrected formation energy is -1633 meV/atom. As for the total magnetization: 0.0 μB per cell.


Entry 2:
Below is an optimized crystal structure of K8I3Br3Cl, with properties calculated at the PBE level.

POSCAR file:
```
K8I3Br3Cl
1.0
4.858 2.805 8.029
-4.858 2.805 8.029
0.000 -5.609 8.029
K I Br Cl
8 3 3 1
Cartesian
0.000 0.000 5.879
-2.392 -1.381 13.882
0.000 -2.762 10.206
-2.392 1.381 10.206
2.392 -1.381 13.882
0.000 2.762 13.882
2.392 1.381 10.206
0.000 0.000 18.208
-2.429 -1.402 8.029
-2.429 1.402 16.058
0.000 2.805 8.029
-4.858 0.000 12.044
-2.429 1.402 4.015
2.429 1.402 4.015
0.000 0.000 12.044
```

Output
Its symmetry is R-3m. The value obtained for the density of states at the Fermi level is 3.071 states/eV/cell. Its uncorrected formation energy is -1516 meV/atom. As for the total magnetization: 0.8 μB per cell.


Entry 3:
Below is an optimized crystal structure of Mg2IBrCl, with properties calculated at the PBE level.

POSCAR file:
```
Mg2IBrCl
1.0
5.279 0.000 0.000
0.000 5.279 0.000
0.000 0.000 5.683
Mg I Br Cl
2 1 1 1
Cartesian
0.000 2.639 0.000
2.639 0.000 0.000
0.000 0.000 2.842
2.639 2.639 2.842
2.639 2.639 0.000
```

Output
Its symmetry is P4/mmm. The value obtained for the density of states at the Fermi level is 3.314 states/eV/cell. Its uncorrected formation energy is -178 meV/atom. As for the total magnetization: 0.0 μB per cell.


Q: uncorrected formation energy of number 3 (Mg2IBrCl)?
A: -178 meV/atom